1.
CsInC3 | PBE-GGA | relaxed

a b c (Å): 4.640 4.640 4.640
angles (deg): 90.00 90.00 90.00
Space group Pm-3m (No. 221)
One atom of each set of equivalent atoms:
Cs 0.000 0.000 0.000 [1 per cell]
In 0.500 0.500 0.500 [1 per cell]
C 0.000 0.500 0.500 [3 per cell]

Values from the calculation:
energy of formation = 2.8133 eV per atom
E_tot = -3.439 eV/atom
polymorph energy (0 for the lowest one) = 0.000 eV per atom
spin magnetization = 0.88 μB/atom
Fermi-level density of states = 3.43 states/eV/cell


2.
Pm2VGe3 | PBE-GGA | relaxed

a b c (Å): 4.501 5.674 10.614
angles (deg): 90.00 90.00 90.00
Space group Immm (No. 71)
One atom of each set of equivalent atoms:
Pm 0.000 0.000 0.184 [4 per cell]
V 0.000 0.000 0.500 [2 per cell]
Ge 0.000 0.500 0.121 [4 per cell]
Ge 0.000 0.500 0.500 [2 per cell]

Values from the calculation:
energy of formation = -0.4123 eV per atom
E_tot = -5.824 eV/atom
spin magnetization = 0.16 μB/atom
Fermi-level density of states = 5.52 states/eV/cell


3.
LiScSiIr | PBE-GGA | relaxed

a b c (Å): 6.170 6.170 6.170
angles (deg): 90.00 90.00 90.00
Space group F-43m (No. 216)
One atom of each set of equivalent atoms:
Li 0.000 0.000 0.000 [4 per cell]
Sc 0.250 0.250 0.750 [4 per cell]
Si 0.250 0.250 0.250 [4 per cell]
Ir 0.000 0.000 0.500 [4 per cell]

Values from the calculation:
E_tot = -6.371 eV/atom
spin magnetization = 0.00 μB/atom
formation energy without anion corrections = -0.739 eV per atom
Fermi-level density of states = 15.16 states/eV/cell


4.
Pu2ZrS6 | PBE-GGA | relaxed

a b c (Å): 6.217 6.217 11.924
angles (deg): 90.00 90.00 90.00
Space group P4_2/mnm (No. 136)
One atom of each set of equivalent atoms:
Pu 0.000 0.000 0.169 [4 per cell]
Zr 0.000 0.000 0.500 [2 per cell]
S 0.194 0.194 0.341 [8 per cell]
S 0.200 0.200 0.000 [4 per cell]

Values from the calculation:
E_tot = -8.203 eV/atom
spin magnetization = 0.89 μB/atom
formation energy without anion corrections = -1.316 eV per atom
Fermi-level density of states = 30.74 states/eV/cell


5.
LaY2Cl | PBE-GGA | relaxed

a b c (Å): 4.804 4.804 10.742
angles (deg): 90.00 90.00 90.00
Space group I-4m2 (No. 119)
One atom of each set of equivalent atoms:
La 0.000 0.000 0.000 [2 per cell]
Y 0.000 0.000 0.500 [2 per cell]
Y 0.000 0.500 0.750 [2 per cell]
Cl 0.000 0.500 0.250 [2 per cell]

Values from the calculation:
E_tot = -4.997 eV/atom
polymorph energy (0 for the lowest one) = 0.600 eV per atom
spin magnetization = 0.00 μB/atom
formation energy without anion corrections = -0.071 eV per atom
Fermi-level density of states = 16.00 states/eV/cell


6.
MnH4Rh2 | PBE-GGA | relaxed

a b c (Å): 2.850 9.746 7.878
angles (deg): 90.00 90.00 90.00
Space group Cmc2_1 (No. 36)
One atom of each set of equivalent atoms:
Mn 0.000 0.099 0.000 [4 per cell]
H 0.000 0.002 0.250 [4 per cell]
H 0.000 0.247 0.631 [4 per cell]
H 0.000 0.250 0.368 [4 per cell]
H 0.000 0.465 0.999 [4 per cell]
Rh 0.000 0.366 0.811 [4 per cell]
Rh 0.000 0.369 0.188 [4 per cell]

Values from the calculation:
E_tot = -5.343 eV/atom
spin magnetization = 0.57 μB/atom
Fermi-level density of states = 10.96 states/eV/cell